Sr2Tl6Ag after structural relaxation, computed with GGA-PBE.

Computed properties:
ΔE to the lowest computed polymorph = 17.5 meV/atom
Density of states at the Fermi level = 8.7 states/eV/cell
V = 30.75 Å³ per atom
Total moment = 0.0000 μB/atom

Cell lengths 12.2068, 7.0977, 6.7034 Å; angles 90.00, 107.60, 90.00 degrees
Last column: nearest neighbours and their distance in Å.
Space group C2/m (No. 12)
Inequivalent atoms, fractional coordinates:
Sr 0.1485 0.0000 0.3214 x4  11 Tl 3.57-3.75
Tl 0.1265 0.2267 0.8125 x8  1 Ag 2.93, 2 Tl 3.20-3.22
Tl 0.1273 0.5000 0.1917 x4  1 Ag 2.94, 2 Tl 3.20
Ag 0.0000 0.5000 0.5000 x2  6 Tl 2.93-2.94